10
Lattice="2.822 -6.490 0.000 2.822 6.490 0.000 0.000 0.000 5.581" Properties=species:S:1:pos:R:3 comment="PuNpBiO2 | the Alexandria database | GGA-PBE | optimized geometry" dos_ef_per_ev_cell=42.07 dft_energy_ev_per_atom=-10.257 total_magnetization_mub_per_cell=3.233 pbc="T T T"
Pu 2.822 5.284 4.186
Pu 2.822 -5.284 1.395
Np 2.822 1.147 4.186
Np 2.822 -1.147 1.395
Bi 2.822 3.254 1.395
Bi 2.822 -3.254 4.186
O 1.449 0.000 0.000
O 1.449 0.000 2.790
O 4.195 0.000 0.000
O 4.195 0.000 2.790